A geometry-optimized NiSe2Cl structure, computed with GGA-PBE.

Lattice parameters (Å, degrees): 5.0898 3.5524 10.4583 90.00 102.98 90.00
Last column: nearest neighbours and their distance in Å.
Space group P2_1/m (No. 11)
Unique sites:
Ni 0.1977 0.2500 0.4001  6 Se 2.36-2.62
Se 0.1718 0.7500 0.2498  1 Cl 2.22, 2 Ni 2.36
Se 0.2747 0.7500 0.5571  4 Ni 2.39-2.62
Cl 0.2386 0.2500 0.8800  1 Se 2.22

formation energy (no corrections): -270 meV per atom
offset from the most stable computed form: 42 meV per atom
M_tot: 0.0 Bohr magnetons per cell
E_tot: -3.919 eV per atom
V: 92 Å³/f.u.


A geometry-optimized Ni2SeCl structure, computed with GGA-PBE.

Lattice parameters (Å, degrees): 3.3148 3.3467 6.7817 90.00 90.00 90.00
Last column: nearest neighbours and their distance in Å.
Space group Pmmm (No. 47)
Unique sites:
Ni 0.0000 0.0000 0.0000  4 Cl 2.36
Ni 0.0000 0.5000 0.5000  4 Se 2.36
Se 0.5000 0.0000 0.5000  4 Ni 2.36
Cl 0.5000 0.5000 0.0000  4 Ni 2.36

formation energy (no corrections): 174 meV per atom
offset from the most stable computed form: 313 meV per atom
M_tot: 1.1 Bohr magnetons per cell
E_tot: -4.050 eV per atom
V: 75 Å³/f.u.


A geometry-optimized Ni2SeCl structure, computed with GGA-PBE.

Lattice parameters (Å, degrees): 3.2032 3.2032 6.9521 90.00 90.00 90.00
Last column: nearest neighbours and their distance in Å.
Space group P4mm (No. 99)
Unique sites:
Ni 0.0000 0.0000 0.0000  1 Se 2.32, 4 Cl 2.54
Ni 0.5000 0.5000 0.1996  4 Se 2.45, 1 Cl 2.55, 4 Ni 2.66
Se 0.0000 0.0000 0.3330  5 Ni 2.32-2.45
Cl 0.5000 0.5000 0.8334  5 Ni 2.54-2.55

formation energy (no corrections): -119 meV per atom
offset from the most stable computed form: 21 meV per atom
M_tot: 0.9 Bohr magnetons per cell
E_tot: -4.342 eV per atom
V: 71 Å³/f.u.


A geometry-optimized Ni2SeCl structure, computed with GGA-PBE.

Lattice parameters (Å, degrees): 6.1597 6.1597 6.1597 90.00 90.00 90.00
Last column: nearest neighbours and their distance in Å.
Space group Fm-3m (No. 225)
Unique sites:
Ni 0.2500 0.2500 0.2500  4 Se 2.67, 4 Cl 2.67
Se 0.0000 0.0000 0.0000  8 Ni 2.67
Cl 0.0000 0.0000 0.5000  8 Ni 2.67

formation energy (no corrections): 331 meV per atom
offset from the most stable computed form: 470 meV per atom
M_tot: 0.0 Bohr magnetons per cell
E_tot: -3.892 eV per atom
V: 58 Å³/f.u.


A geometry-optimized NiSeCl2 structure, computed with GGA-PBE.

Lattice parameters (Å, degrees): 3.4162 3.7900 6.8118 90.00 90.00 90.00
Last column: nearest neighbours and their distance in Å.
Space group Pmmm (No. 47)
Unique sites:
Ni 0.0000 0.0000 0.0000  4 Cl 2.55
Se 0.5000 0.0000 0.5000  4 Cl 2.55
Cl 0.0000 0.5000 0.5000  4 Se 2.55
Cl 0.5000 0.5000 0.0000  4 Ni 2.55

formation energy (no corrections): 347 meV per atom
offset from the most stable computed form: 709 meV per atom
M_tot: 1.2 Bohr magnetons per cell
E_tot: -2.893 eV per atom
V: 88 Å³/f.u.


A geometry-optimized NiSeCl2 structure, computed with GGA-PBE.

Lattice parameters (Å, degrees): 9.2170 3.1366 7.0137 90.00 96.21 90.00
Last column: nearest neighbours and their distance in Å.
Space group C2/m (No. 12)
Unique sites:
Ni 0.0000 0.0000 0.0000  4 Cl 2.24
Se 0.0000 0.5000 0.5000  2 Cl 2.51
Cl 0.1132 0.5000 0.1897  2 Ni 2.24

formation energy (no corrections): -23 meV per atom
offset from the most stable computed form: 339 meV per atom
M_tot: 1.4 Bohr magnetons per cell
E_tot: -3.263 eV per atom
V: 101 Å³/f.u.


A geometry-optimized NiSe2Cl structure, computed with GGA-PBE.

Lattice parameters (Å, degrees): 3.6705 3.6705 7.4687 90.00 90.00 120.00
Last column: nearest neighbours and their distance in Å.
Space group P3m1 (No. 156)
Unique sites:
Ni 0.0000 0.0000 0.0000  6 Se 2.41-2.44
Se 0.3333 0.6667 0.8476  1 Cl 2.31, 3 Ni 2.41
Se 0.6667 0.3333 0.1611  3 Ni 2.44
Cl 0.3333 0.6667 0.5384  1 Se 2.31

formation energy (no corrections): -244 meV per atom
offset from the most stable computed form: 69 meV per atom
M_tot: 0.0 Bohr magnetons per cell
E_tot: -3.893 eV per atom
V: 87 Å³/f.u.


A geometry-optimized NiSe2Cl structure, computed with GGA-PBE.

Lattice parameters (Å, degrees): 4.2335 14.5756 6.4903 90.00 103.03 90.00
Last column: nearest neighbours and their distance in Å.
Space group C2/c (No. 15)
Unique sites:
Ni 0.0000 0.2052 0.2500  4 Se 2.39-2.50, 2 Cl 2.50
Se 0.1746 0.1626 0.6322  1 Se 2.35, 2 Ni 2.39-2.50
Cl 0.0000 0.3862 0.7500  2 Ni 2.50

formation energy (no corrections): -157 meV per atom
offset from the most stable computed form: 155 meV per atom
M_tot: 2.0 Bohr magnetons per cell
E_tot: -3.806 eV per atom
V: 98 Å³/f.u.


A geometry-optimized NiSeCl2 structure, computed with GGA-PBE.

Lattice parameters (Å, degrees): 6.5780 6.5780 6.5780 90.00 90.00 90.00
Last column: nearest neighbours and their distance in Å.
Space group F-43m (No. 216)
Unique sites:
Ni 0.0000 0.0000 0.0000  4 Se 2.85, 4 Cl 2.85
Se 0.2500 0.2500 0.2500  4 Cl 2.85, 4 Ni 2.85
Cl 0.0000 0.0000 0.5000  4 Cl 2.85, 4 Se 2.85
Cl 0.2500 0.2500 0.7500  4 Cl 2.85, 4 Ni 2.85

formation energy (no corrections): 609 meV per atom
offset from the most stable computed form: 972 meV per atom
M_tot: 2.5 Bohr magnetons per cell
E_tot: -2.631 eV per atom
V: 71 Å³/f.u.


A geometry-optimized NiSe2Cl structure, computed with GGA-PBE.

Lattice parameters (Å, degrees): 3.6348 3.6348 20.8505 90.00 90.00 120.00
Last column: nearest neighbours and their distance in Å.
Space group R3m (No. 160, hexagonal axes)
Unique sites:
Ni 0.0000 0.0000 0.0000  6 Se 2.38-2.41
Se 0.0000 0.0000 0.3898  3 Ni 2.41
Se 0.0000 0.0000 0.6127  3 Ni 2.38
Cl 0.0000 0.0000 0.8208  3 Se 2.92

formation energy (no corrections): -204 meV per atom
offset from the most stable computed form: 108 meV per atom
M_tot: 0.0 Bohr magnetons per cell
E_tot: -3.853 eV per atom
V: 80 Å³/f.u.


A geometry-optimized NiSeCl2 structure, computed with GGA-PBE.

Lattice parameters (Å, degrees): 6.8734 6.9140 3.0887 90.00 90.00 90.00
Last column: nearest neighbours and their distance in Å.
Space group Cmmm (No. 65)
Unique sites:
Ni 0.0000 0.0000 0.0000  8 Cl 2.89, 2 Ni 3.09
Se 0.0000 0.5000 0.0000  8 Cl 2.89, 2 Se 3.09
Cl 0.2500 0.2500 0.5000  4 Se 2.89, 4 Ni 2.89, 2 Cl 3.09

formation energy (no corrections): 674 meV per atom
offset from the most stable computed form: 1036 meV per atom
M_tot: 1.9 Bohr magnetons per cell
E_tot: -2.566 eV per atom
V: 73 Å³/f.u.


A geometry-optimized NiSeCl2 structure, computed with GGA-PBE.

Lattice parameters (Å, degrees): 3.3388 7.7437 8.4954 90.00 90.00 90.00
Last column: nearest neighbours and their distance in Å.
Space group Cmm2 (No. 35)
Unique sites:
Ni 0.0000 0.0000 0.0000  2 Cl 2.23, 2 Se 2.24
Se 0.0000 0.5000 0.8239  2 Ni 2.24
Cl 0.0000 0.0000 0.5759  2 Se 2.69
Cl 0.0000 0.5000 0.1747  2 Ni 2.23

formation energy (no corrections): -94 meV per atom
offset from the most stable computed form: 269 meV per atom
M_tot: 2.2 Bohr magnetons per cell
E_tot: -3.334 eV per atom
V: 110 Å³/f.u.


A geometry-optimized NiSeCl2 structure, computed with GGA-PBE.

Lattice parameters (Å, degrees): 2.9882 6.6723 10.2977 90.00 90.00 90.00
Last column: nearest neighbours and their distance in Å.
Space group Immm (No. 71)
Unique sites:
Ni 0.0000 0.0000 0.0000  4 Cl 2.17
Se 0.0000 0.0000 0.5000  2 Se 2.99
Cl 0.0000 0.5000 0.3475  2 Ni 2.17

formation energy (no corrections): 1 meV per atom
offset from the most stable computed form: 363 meV per atom
M_tot: 2.5 Bohr magnetons per cell
E_tot: -3.239 eV per atom
V: 103 Å³/f.u.


A geometry-optimized NiSe2Cl structure, computed with GGA-PBE.

Lattice parameters (Å, degrees): 4.6716 3.6401 4.9734 90.00 106.53 90.00
Last column: nearest neighbours and their distance in Å.
Space group P2/m (No. 10)
Unique sites:
Ni 0.0000 0.0000 0.0000  4 Se 2.40, 2 Cl 2.49
Se 0.3414 0.5000 0.1504  1 Se 2.39, 2 Ni 2.40
Cl 0.0000 0.0000 0.5000  2 Ni 2.49

formation energy (no corrections): -286 meV per atom
offset from the most stable computed form: 26 meV per atom
M_tot: 0.0 Bohr magnetons per cell
E_tot: -3.935 eV per atom
V: 81 Å³/f.u.